The following is a SCAN calculation of Tb3Ga5O12 at its PBEsol-relaxed geometry, from the Alexandria database.

```
Tb3Ga5O12
1.0
10.638 0.000 0.000
-3.546 10.029 0.000
-3.546 -5.015 8.686
O Ga Tb
48 20 12
Direct
0.823 0.416 0.294
0.206 0.177 0.084
0.177 0.594 0.971
0.706 0.623 0.029
0.177 0.584 0.706
0.029 0.906 0.823
0.377 0.906 0.084
0.094 0.677 0.471
0.123 0.206 0.529
0.323 0.029 0.406
0.084 0.406 0.377
0.916 0.594 0.623
0.094 0.416 0.123
0.294 0.916 0.823
0.471 0.294 0.877
0.206 0.029 0.623
0.406 0.877 0.584
0.594 0.471 0.677
0.677 0.706 0.584
0.706 0.084 0.177
0.323 0.294 0.416
0.877 0.794 0.471
0.971 0.877 0.294
0.529 0.823 0.906
0.906 0.584 0.877
0.416 0.794 0.323
0.471 0.177 0.094
0.794 0.971 0.377
0.584 0.377 0.406
0.623 0.094 0.916
0.823 0.406 0.029
0.916 0.323 0.794
0.584 0.206 0.677
0.794 0.823 0.916
0.877 0.084 0.906
0.416 0.623 0.594
0.529 0.706 0.123
0.029 0.123 0.706
0.677 0.971 0.594
0.971 0.094 0.177
0.594 0.123 0.416
0.084 0.677 0.206
0.623 0.529 0.206
0.123 0.916 0.094
0.406 0.529 0.323
0.294 0.377 0.971
0.906 0.323 0.529
0.377 0.471 0.794
0.625 0.375 0.250
0.750 0.625 0.875
0.000 0.000 0.500
0.250 0.875 0.625
0.875 0.125 0.750
0.250 0.375 0.125
0.500 0.000 0.000
0.500 0.500 0.500
0.125 0.875 0.250
0.750 0.125 0.375
0.000 0.500 0.000
0.000 0.500 0.500
0.375 0.750 0.125
0.500 0.000 0.500
0.500 0.500 0.000
0.625 0.250 0.875
0.375 0.625 0.750
0.000 0.000 0.000
0.875 0.750 0.625
0.125 0.250 0.375
0.125 0.375 0.750
0.750 0.875 0.125
0.625 0.875 0.750
0.250 0.125 0.875
0.625 0.750 0.375
0.375 0.250 0.625
0.875 0.250 0.125
0.125 0.750 0.875
0.750 0.375 0.625
0.250 0.625 0.375
0.875 0.625 0.250
0.375 0.125 0.250
```

Values from the calculation:
Total magnetic moment, μB/atom: 0.000
E_form (uncorrected), eV/atom: -2.82
Density of states at the Fermi level, states/eV/cell: 0.00
V, Å³/atom: 11.58